Computed, not measured: an optimized crystal structure of AcLaDy2Hg4 at the PBE level of DFT.

## Properties
N(E_F) = 9.34 states/eV/cell
ΔH_f (0 K) = -0.4489 eV per atom
Total magnetic moment = 1.02 μB per cell

Cell lengths 9.522, 9.522, 9.522 Å; angles 33.23, 33.23, 33.23 degrees
Element x y z (fractional)
Ac 0.000 0.000 0.000
La 0.500 0.500 0.500
Dy 0.248 0.248 0.248
Dy 0.752 0.752 0.752
Hg 0.127 0.127 0.127
Hg 0.378 0.378 0.378
Hg 0.622 0.622 0.622
Hg 0.873 0.873 0.873

=====

Computed, not measured: an optimized crystal structure of Li2AcDyHg4 at the PBE level of DFT.

## Properties
N(E_F) = 5.14 states/eV/cell
ΔH_f (0 K) = -0.4251 eV per atom
Total magnetic moment = 0.00 μB per cell

Cell lengths 9.687, 9.687, 9.687 Å; angles 29.87, 29.87, 29.87 degrees
Element x y z (fractional)
Li 0.238 0.238 0.238
Li 0.762 0.762 0.762
Ac 0.000 0.000 0.000
Dy 0.500 0.500 0.500
Hg 0.125 0.125 0.125
Hg 0.391 0.391 0.391
Hg 0.609 0.609 0.609
Hg 0.875 0.875 0.875

=====

Computed, not measured: an optimized crystal structure of AcDyMgHg at the PBE level of DFT.

## Properties
Relative energy among the computed polymorphs = 0 meV per atom
N(E_F) = 4.77 states/eV/cell
ΔH_f (0 K) = -0.2622 eV per atom
Total magnetic moment = 0.00 μB per cell

Cell lengths 3.886, 3.886, 7.954 Å; angles 90.00, 90.00, 90.00 degrees
Element x y z (fractional)
Ac 0.000 0.000 0.000
Dy 0.000 0.000 0.488
Mg 0.500 0.500 0.716
Hg 0.500 0.500 0.292

=====

Computed, not measured: an optimized crystal structure of AcDyMgHg at the PBE level of DFT.

## Properties
Relative energy among the computed polymorphs = 53 meV per atom
N(E_F) = 20.93 states/eV/cell
ΔH_f (0 K) = -0.2092 eV per atom
Total magnetic moment = 0.02 μB per cell

Cell lengths 7.848, 7.848, 7.848 Å; angles 90.00, 90.00, 90.00 degrees
Element x y z (fractional)
Ac 0.000 0.000 0.000
Ac 0.000 0.500 0.500
Ac 0.500 0.000 0.500
Ac 0.500 0.500 0.000
Dy 0.000 0.000 0.500
Dy 0.000 0.500 0.000
Dy 0.500 0.000 0.000
Dy 0.500 0.500 0.500
Mg 0.250 0.250 0.750
Mg 0.250 0.750 0.250
Mg 0.750 0.250 0.250
Mg 0.750 0.750 0.750
Hg 0.250 0.250 0.250
Hg 0.250 0.750 0.750
Hg 0.750 0.250 0.750
Hg 0.750 0.750 0.250